DFT (PBE-GGA) results for an optimized crystal structure of MnCrTe2I.

```
MnCrTe2I
1.0
4.938 0.000 0.000
0.000 4.938 0.000
0.000 0.000 5.473
Mn Cr Te I
1 1 2 1
direct
0.000 0.000 0.000
0.500 0.500 0.500
0.000 0.500 0.000
0.500 0.000 0.000
0.000 0.000 0.500
```

Values from the calculation:
Formation energy from raw total energies ... 28.80 kcal/mol of atoms
Energy relative to the lowest polymorph listed for this composition ... 733 meV per atom
Calculated density ... 6.09 g/cm³